No. 1
This record from the Alexandria database describes a geometry-optimized SrHg2Mo structure. The functional is PBEsol.

Lattice parameters (Å, degrees): 3.050 3.050 9.365 90.00 90.00 90.00
Element x y z (fractional)
Mo 0.000 0.000 0.473
Sr 0.500 0.500 0.744
Hg 0.000 0.000 0.016
Hg 0.500 0.500 0.266

polymorph energy (0 for the lowest one)	157	meV/atom
magnetic moment	0.00	μB per cell
space group	P4mm (99)

=====

No. 2
This record from the Alexandria database describes a geometry-optimized SrHg2Mo structure. The functional is PBEsol.

Lattice parameters (Å, degrees): 3.536 3.536 7.231 90.00 90.00 90.00
Element x y z (fractional)
Hg 0.000 0.000 0.796
Sr 0.500 0.500 0.500
Hg 0.000 0.000 0.204
Mo 0.500 0.500 0.000

polymorph energy (0 for the lowest one)	0	meV/atom
magnetic moment	1.69	μB per cell
space group	P4/mmm (123)

=====

No. 3
This record from the Alexandria database describes a geometry-optimized Sr4HgMo structure. The functional is PBEsol.

Lattice parameters (Å, degrees): 6.742 6.742 6.742 60.00 60.00 60.00
Element x y z (fractional)
Hg 0.750 0.750 0.750
Mo 0.000 0.000 0.000
Sr 0.375 0.375 0.375
Sr 0.876 0.375 0.375
Sr 0.375 0.375 0.876
Sr 0.375 0.876 0.375

magnetic moment	3.85	μB per cell
space group	F-43m (216)

=====

| no. | ΔE_f (kJ per mole of atoms) |
| --- | --- |
| 1 | 44.9 |
| 2 | 29.8 |
| 3 | 103.3 |